(1)
Material: CrTe4Pd
Method: DFT, PBE-GGA
State: relaxed

The space group is C2/m (No. 12) and the conventional cell measures 13.067, 4.006 and 6.940 Å, with angles of 90.00, 120.99 and 90.00 degrees. The asymmetric unit holds Cr at (0.000, 0.000, 0.000), Te at (0.126, 0.500, 0.957), Te at (0.129, 0.000, 0.453) and Pd at (0.000, 0.500, 0.500).

The calculation puts the magnetization at 5.48 μB/cell. The calculation puts the total energy at -4.802 eV per atom.


(2)
Material: Cr3Te8Pd
Method: DFT, PBE-GGA
State: relaxed

The space group is P-1 (No. 2) and the conventional cell measures 7.614, 7.622 and 7.800 Å, with angles of 61.12, 60.86 and 60.12 degrees. The asymmetric unit holds Cr at (0.000, 0.000, 0.000), Cr at (0.000, 0.500, 0.000), Cr at (0.500, 0.000, 0.000), Te at (0.244, 0.749, 0.756), Te at (0.248, 0.246, 0.757), Te at (0.249, 0.251, 0.244), Te at (0.249, 0.758, 0.244) and Pd at (0.500, 0.500, 0.000).

The calculation puts the magnetization at 7.33 μB/cell. The calculation puts the total energy at -5.132 eV per atom.


> Look up the magnetization of the second one.

7.33 μB/cell


What did the second record say?
Material: Cr3Te8Pd
Method: DFT, PBE-GGA
State: relaxed

The space group is P-1 (No. 2) and the conventional cell measures 7.614, 7.622 and 7.800 Å, with angles of 61.12, 60.86 and 60.12 degrees. The asymmetric unit holds Cr at (0.000, 0.000, 0.000), Cr at (0.000, 0.500, 0.000), Cr at (0.500, 0.000, 0.000), Te at (0.244, 0.749, 0.756), Te at (0.248, 0.246, 0.757), Te at (0.249, 0.251, 0.244), Te at (0.249, 0.758, 0.244) and Pd at (0.500, 0.500, 0.000).

The calculation puts the magnetization at 7.33 μB/cell. The calculation puts the total energy at -5.132 eV per atom.


> Which of these has the highest magnetization?

Cr3Te8Pd


> What is the magnetization in the second record?

7.33 μB/cell